Entry 1:
# W2AuBr

W2AuBr after structural relaxation (GGA-PBE, Alexandria via LeMat-Bulk).

Structure (POSCAR):
```
W2AuBr
1.0
-4.028 -0.002 3.642
1.293 -0.145 5.272
1.423 2.856 -4.394
Au Br W
1 1 2
Direct
0.250 0.750 0.500
0.750 0.250 0.500
0.000 0.000 0.000
0.500 0.500 0.000
```

Output
The value obtained for the total energy is -6.308 eV per atom. The excess energy over the best structure of this formula in the dataset is 855 meV/atom. The calculation puts the formation energy from raw total energies at 1.4063 eV per atom.



Entry 2:
# Sc2SnRh4

Sc2SnRh4 after structural relaxation (GGA-PBE, Alexandria via LeMat-Bulk).

Structure (POSCAR):
```
Sc2SnRh4
1.0
4.241 0.000 1.325
1.913 3.784 1.325
-0.075 -0.046 7.689
Sc Sn Rh
2 1 4
Direct
0.756 0.756 0.733
0.244 0.244 0.267
0.000 0.000 0.000
0.875 0.875 0.376
0.125 0.125 0.624
0.625 0.625 0.126
0.375 0.375 0.874
```

Output
The value obtained for the total energy is -7.160 eV per atom. The calculated formation energy is -0.578 eV per atom.



Copy entry 2 word for word.
# Sc2SnRh4

Sc2SnRh4 after structural relaxation (GGA-PBE, Alexandria via LeMat-Bulk).

Structure (POSCAR):
```
Sc2SnRh4
1.0
4.241 0.000 1.325
1.913 3.784 1.325
-0.075 -0.046 7.689
Sc Sn Rh
2 1 4
Direct
0.756 0.756 0.733
0.244 0.244 0.267
0.000 0.000 0.000
0.875 0.875 0.376
0.125 0.125 0.624
0.625 0.625 0.126
0.375 0.375 0.874
```

Output
The value obtained for the total energy is -7.160 eV per atom. The calculated formation energy is -0.578 eV per atom.